This record from Alexandria via LeMat-Bulk describes a relaxed structure of Si2TeRu. The functional is GGA-PBE.

Values from the calculation:
The mass density comes out at 6.61 g/cm³. As for the formation energy without anion corrections: 127 meV per atom.

Cell lengths 3.074, 3.109, 7.485 Å; angles 90.00, 90.00, 90.00 degrees
Element x y z (fractional)
Si (0.000, 0.000, 0.979)
Ru (0.500, 0.500, 0.813)
Si (0.500, 0.500, 0.164)
Te (0.000, 0.000, 0.545)



This record from Alexandria via LeMat-Bulk describes a relaxed structure of SiTe2Ru. The functional is GGA-PBE.

Values from the calculation:
The mass density comes out at 7.15 g/cm³. As for the formation energy without anion corrections: 85 meV per atom.

Cell lengths 3.291, 3.291, 8.247 Å; angles 90.00, 90.00, 90.00 degrees
Element x y z (fractional)
Te (0.000, 0.000, 0.909)
Si (0.500, 0.500, 0.680)
Te (0.500, 0.500, 0.330)
Ru (0.000, 0.000, 0.581)



This record from Alexandria via LeMat-Bulk describes a relaxed structure of SiTe2Ru. The functional is GGA-PBE.

Values from the calculation:
The mass density comes out at 7.30 g/cm³. As for the formation energy without anion corrections: 272 meV per atom.

Cell lengths 6.502, 6.502, 6.502 Å; angles 152.30, 136.57, 52.29 degrees
Element x y z (fractional)
Ru (0.494, 0.494, 0.000)
Te (0.983, 0.983, 0.000)
Si (0.329, 0.829, 0.500)
Te (0.694, 0.194, 0.500)



This record from Alexandria via LeMat-Bulk describes a relaxed structure of SiTeRu2. The functional is GGA-PBE.

Values from the calculation:
The mass density comes out at 9.11 g/cm³. As for the formation energy without anion corrections: 620 meV per atom.

Cell lengths 4.518, 4.518, 4.518 Å; angles 60.00, 60.00, 60.00 degrees
Element x y z (fractional)
Te (0.750, 0.750, 0.750)
Ru (0.000, 0.000, 0.000)
Si (0.500, 0.500, 0.500)
Ru (0.250, 0.250, 0.250)